A geometry-optimized La3Dy2ErBi6 structure. Source: Alexandria, functional GGA-PBE.

Calculated values
final energy: -5.266 eV per atom
symmetry: C2/m, No. 12
formation energy from the elements: -0.95 eV per atom

Lattice parameters (Å, degrees): 7.9587 7.9587 7.9231 99.63 99.63 119.99
Last column: nearest neighbours and their distance in Å.
Atoms (fractional coordinates):
La 0.0000 0.0000 0.0000  6 Bi 3.30-3.31
La 0.3329 0.6671 0.0000  6 Bi 3.30-3.31
La 0.6671 0.3329 0.0000  6 Bi 3.30-3.31
Dy 0.1665 0.8335 0.5000  6 Bi 3.19
Dy 0.8335 0.1665 0.5000  6 Bi 3.19
Er 0.5000 0.5000 0.5000  6 Bi 3.18
Bi 0.0890 0.4213 0.2637  1 Er 3.18, 2 Dy 3.19, 3 La 3.30-3.31
Bi 0.2468 0.2468 0.7368  1 Er 3.18, 2 Dy 3.19, 3 La 3.30-3.31
Bi 0.4213 0.0890 0.2637  1 Er 3.18, 2 Dy 3.19, 3 La 3.30-3.31
Bi 0.5787 0.9110 0.7363  1 Er 3.18, 2 Dy 3.19, 3 La 3.30-3.31
Bi 0.7532 0.7532 0.2632  1 Er 3.18, 2 Dy 3.19, 3 La 3.30-3.31
Bi 0.9110 0.5787 0.7363  1 Er 3.18, 2 Dy 3.19, 3 La 3.30-3.31



A geometry-optimized Li2Zn7Pd2 structure. Source: Alexandria, functional GGA-PBE.

Calculated values
final energy: -2.379 eV per atom
symmetry: C2/m, No. 12
formation energy from the elements: -0.28 eV per atom

Lattice parameters (Å, degrees): 6.2528 6.2528 4.8984 108.88 108.88 89.62
Last column: nearest neighbours and their distance in Å.
Atoms (fractional coordinates):
Li 0.1872 0.8128 0.0000  8 Zn 2.67-2.98, 2 Pd 2.84
Li 0.8128 0.1872 0.0000  8 Zn 2.67-2.98, 2 Pd 2.84
Zn 0.0000 0.0000 0.5000  4 Zn 2.53, 2 Pd 2.67
Zn 0.0671 0.5866 0.3252  4 Zn 2.53-2.75, 2 Pd 2.59-2.67, 2 Li 2.67-2.71
Zn 0.3928 0.3928 0.6559  3 Pd 2.60-2.66, 4 Zn 2.71-2.91
Zn 0.4134 0.9329 0.6748  4 Zn 2.53-2.75, 2 Pd 2.59-2.67, 2 Li 2.67-2.71
Zn 0.5866 0.0671 0.3252  4 Zn 2.53-2.75, 2 Pd 2.59-2.67, 2 Li 2.67-2.71
Zn 0.6072 0.6072 0.3441  3 Pd 2.60-2.66, 4 Zn 2.71-2.91
Zn 0.9329 0.4134 0.6748  4 Zn 2.53-2.75, 2 Pd 2.59-2.67, 2 Li 2.67-2.71
Pd 0.2719 0.2719 0.0491  8 Zn 2.59-2.67, 2 Li 2.84
Pd 0.7281 0.7281 0.9509  8 Zn 2.59-2.67, 2 Li 2.84